[1]
# HfSbS3 PBE relaxed
data_HfSbS3
_chemical_formula_sum 'Hf1 Sb1 S3'
_cell_length_a 4.923
_cell_length_b 4.923
_cell_length_c 4.923
_cell_angle_alpha 90.00
_cell_angle_beta 90.00
_cell_angle_gamma 90.00
_space_group_name_H-M_alt 'P 1'
_space_group_IT_number 1
loop_
_space_group_symop_operation_xyz
'x,y,z'
loop_
_atom_site_label
_atom_site_type_symbol
_atom_site_fract_x
_atom_site_fract_y
_atom_site_fract_z
Sb1 Sb 0.000 0.000 0.000
S1 S 0.000 0.500 0.000
S2 S 0.000 0.000 0.500
S3 S 0.500 0.000 0.000
Hf1 Hf 0.500 0.500 0.500
# Magnetization, μB per atom: 0.211
# Mass density, g/cm³: 5.52

***

[2]
# HfSbS3 PBE relaxed
data_HfSbS3
_chemical_formula_sum 'Hf1 Sb1 S3'
_cell_length_a 4.918
_cell_length_b 4.918
_cell_length_c 4.918
_cell_angle_alpha 90.00
_cell_angle_beta 90.00
_cell_angle_gamma 90.00
_space_group_name_H-M_alt 'P 1'
_space_group_IT_number 1
loop_
_space_group_symop_operation_xyz
'x,y,z'
loop_
_atom_site_label
_atom_site_type_symbol
_atom_site_fract_x
_atom_site_fract_y
_atom_site_fract_z
Sb1 Sb 0.500 0.500 0.500
S1 S 0.000 0.500 0.000
S2 S 0.000 0.000 0.500
S3 S 0.500 0.000 0.000
Hf1 Hf 0.000 0.000 0.000
# Magnetization, μB per atom: 0.000
# Mass density, g/cm³: 5.53

***

[3]
# HfSbS4 PBE relaxed
data_HfSbS4
_chemical_formula_sum 'Hf2 Sb2 S8'
_cell_length_a 5.200
_cell_length_b 8.474
_cell_length_c 9.009
_cell_angle_alpha 116.92
_cell_angle_beta 90.00
_cell_angle_gamma 107.87
_space_group_name_H-M_alt 'P 1'
_space_group_IT_number 1
loop_
_space_group_symop_operation_xyz
'x,y,z'
loop_
_atom_site_label
_atom_site_type_symbol
_atom_site_fract_x
_atom_site_fract_y
_atom_site_fract_z
Hf1 Hf 0.191 0.382 0.319
Hf2 Hf 0.809 0.618 0.681
Sb1 Sb 0.130 0.259 0.702
Sb2 Sb 0.870 0.741 0.298
S1 S 0.054 0.109 0.389
S2 S 0.069 0.138 0.019
S3 S 0.713 0.425 0.352
S4 S 0.686 0.371 0.767
S5 S 0.314 0.629 0.233
S6 S 0.287 0.575 0.648
S7 S 0.931 0.862 0.981
S8 S 0.946 0.891 0.611
# Magnetization, μB per atom: 0.000
# Mass density, g/cm³: 4.28

***

[4]
# HfSbS3 PBE relaxed
data_HfSbS3
_chemical_formula_sum 'Hf2 Sb2 S6'
_cell_length_a 3.608
_cell_length_b 6.864
_cell_length_c 10.369
_cell_angle_alpha 90.00
_cell_angle_beta 100.02
_cell_angle_gamma 90.00
_space_group_name_H-M_alt 'P 1'
_space_group_IT_number 1
loop_
_space_group_symop_operation_xyz
'x,y,z'
loop_
_atom_site_label
_atom_site_type_symbol
_atom_site_fract_x
_atom_site_fract_y
_atom_site_fract_z
Hf1 Hf 0.330 0.507 0.659
Hf2 Hf 0.670 0.007 0.341
Sb1 Sb 0.855 0.985 0.711
Sb2 Sb 0.145 0.485 0.289
S1 S 0.897 0.351 0.794
S2 S 0.103 0.851 0.206
S3 S 0.586 0.271 0.171
S4 S 0.414 0.771 0.829
S5 S 0.754 0.681 0.509
S6 S 0.246 0.181 0.491
# Magnetization, μB per atom: 0.000
# Mass density, g/cm³: 5.21

***

[5]
# Hf6SbS PBE relaxed
data_Hf6SbS
_chemical_formula_sum 'Hf6 Sb1 S1'
_cell_length_a 5.819
_cell_length_b 5.819
_cell_length_c 5.820
_cell_angle_alpha 103.44
_cell_angle_beta 103.44
_cell_angle_gamma 103.44
_space_group_name_H-M_alt 'P 1'
_space_group_IT_number 1
loop_
_space_group_symop_operation_xyz
'x,y,z'
loop_
_atom_site_label
_atom_site_type_symbol
_atom_site_fract_x
_atom_site_fract_y
_atom_site_fract_z
Hf1 Hf 0.217 0.217 0.643
Hf2 Hf 0.643 0.217 0.217
Hf3 Hf 0.783 0.783 0.357
Hf4 Hf 0.783 0.357 0.783
Hf5 Hf 0.357 0.783 0.783
Hf6 Hf 0.217 0.643 0.217
Sb1 Sb 0.000 0.000 0.000
S1 S 0.500 0.500 0.500
# Magnetization, μB per atom: 0.000
# Mass density, g/cm³: 11.44

***

[6]
# Hf8SbS2 PBE relaxed
data_Hf8SbS2
_chemical_formula_sum 'Hf8 Sb1 S2'
_cell_length_a 5.223
_cell_length_b 8.304
_cell_length_c 8.304
_cell_angle_alpha 40.40
_cell_angle_beta 77.90
_cell_angle_gamma 77.90
_space_group_name_H-M_alt 'P 1'
_space_group_IT_number 1
loop_
_space_group_symop_operation_xyz
'x,y,z'
loop_
_atom_site_label
_atom_site_type_symbol
_atom_site_fract_x
_atom_site_fract_y
_atom_site_fract_z
Hf1 Hf 0.361 0.346 0.841
Hf2 Hf 0.639 0.159 0.654
Hf3 Hf 0.236 0.776 0.776
Hf4 Hf 0.764 0.224 0.224
Hf5 Hf 0.361 0.841 0.346
Hf6 Hf 0.639 0.654 0.159
Hf7 Hf 0.851 0.604 0.604
Hf8 Hf 0.149 0.396 0.396
Sb1 Sb 0.000 0.000 0.000
S1 S 0.744 0.768 0.768
S2 S 0.256 0.232 0.232
# Magnetization, μB per atom: 0.000
# Mass density, g/cm³: 11.78

***

[7]
# HfSbS2 PBE relaxed
data_HfSbS2
_chemical_formula_sum 'Hf1 Sb1 S2'
_cell_length_a 8.950
_cell_length_b 8.950
_cell_length_c 8.950
_cell_angle_alpha 22.64
_cell_angle_beta 22.64
_cell_angle_gamma 22.64
_space_group_name_H-M_alt 'P 1'
_space_group_IT_number 1
loop_
_space_group_symop_operation_xyz
'x,y,z'
loop_
_atom_site_label
_atom_site_type_symbol
_atom_site_fract_x
_atom_site_fract_y
_atom_site_fract_z
Sb1 Sb 0.000 0.000 0.000
S1 S 0.892 0.892 0.892
S2 S 0.108 0.108 0.108
Hf1 Hf 0.500 0.500 0.500
# Magnetization, μB per atom: 0.000
# Mass density, g/cm³: 6.49

***

[8]
# HfSbS4 PBE relaxed
data_HfSbS4
_chemical_formula_sum 'Hf1 Sb1 S4'
_cell_length_a 3.677
_cell_length_b 6.543
_cell_length_c 7.750
_cell_angle_alpha 64.71
_cell_angle_beta 76.28
_cell_angle_gamma 90.00
_space_group_name_H-M_alt 'P 1'
_space_group_IT_number 1
loop_
_space_group_symop_operation_xyz
'x,y,z'
loop_
_atom_site_label
_atom_site_type_symbol
_atom_site_fract_x
_atom_site_fract_y
_atom_site_fract_z
Hf1 Hf 0.000 0.000 0.000
Sb1 Sb 0.500 0.500 0.000
S1 S 0.891 0.569 0.218
S2 S 0.606 0.944 0.788
S3 S 0.394 0.056 0.212
S4 S 0.109 0.431 0.782
# Magnetization, μB per atom: 0.000
# Mass density, g/cm³: 4.37

***

The following formation energy without anion corrections values (in eV/atom) correspond, in order, to the records above: 0.489, -0.472, -0.766, -0.780, -0.310, -0.363, -0.994, -0.837.